Model a:
Compound: Pr6MgRu2
Source: the Alexandria database
Functional: PBE-GGA
Structure: optimized geometry

```
data_Pr6MgRu2
_chemical_formula_sum 'Pr12 Mg2 Ru4'
_cell_length_a 10.5093
_cell_length_b 5.3275
_cell_length_c 9.4500
_cell_angle_alpha 90.00
_cell_angle_beta 101.74
_cell_angle_gamma 90.00
_symmetry_space_group_name_H-M 'C 1 2/m 1'
_symmetry_Int_Tables_number 12
_symmetry_space_group_name_Hall '-C 2y'
loop_
_atom_site_label
_atom_site_fract_x
_atom_site_fract_y
_atom_site_fract_z
Pr1 0.0394 0.0000 0.3495
Pr2 0.1589 0.5000 0.8799
Pr3 0.2079 0.5000 0.3355
Mg1 0.0000 0.0000 0.0000
Ru1 0.1117 0.5000 0.5949
```

N(E_F): 0.94 states/eV/atom
Theoretical density: 6.872 g cm⁻³



Model b:
Compound: Pr6MgRu2
Source: the Alexandria database
Functional: PBE-GGA
Structure: optimized geometry

```
data_Pr6MgRu2
_chemical_formula_sum 'Pr24 Mg4 Ru8'
_cell_length_a 9.7867
_cell_length_b 10.0781
_cell_length_c 10.7747
_cell_angle_alpha 90.00
_cell_angle_beta 90.00
_cell_angle_gamma 90.00
_symmetry_space_group_name_H-M 'I m m m'
_symmetry_Int_Tables_number 71
_symmetry_space_group_name_Hall '-I 2 2'
loop_
_atom_site_label
_atom_site_fract_x
_atom_site_fract_y
_atom_site_fract_z
Pr1 0.0000 0.2031 0.2373
Pr2 0.1849 0.5000 0.1759
Pr3 0.2153 0.3175 0.5000
Mg1 0.0000 0.0000 0.0000
Mg2 0.0000 0.0000 0.5000
Ru1 0.0000 0.3134 0.0000
Ru2 0.0000 0.5000 0.3763
```

N(E_F): 0.95 states/eV/atom
Theoretical density: 6.699 g cm⁻³



Most stable = model b



Model a:
Compound: PrSmMgRu
Source: the Alexandria database
Functional: PBE-GGA
Structure: optimized geometry

```
data_PrSmMgRu
_chemical_formula_sum 'Pr1 Sm1 Mg1 Ru1'
_cell_length_a 3.4764
_cell_length_b 3.4764
_cell_length_c 8.7726
_cell_angle_alpha 90.00
_cell_angle_beta 90.00
_cell_angle_gamma 90.00
_symmetry_space_group_name_H-M 'P 4 m m'
_symmetry_Int_Tables_number 99
_symmetry_space_group_name_Hall 'P 4 -2'
loop_
_atom_site_label
_atom_site_fract_x
_atom_site_fract_y
_atom_site_fract_z
Pr1 0.0000 0.0000 0.0000
Sm1 0.0000 0.0000 0.6055
Mg1 0.5000 0.5000 0.3068
Ru1 0.5000 0.5000 0.7968
```

N(E_F): 0.91 states/eV/atom
Theoretical density: 6.526 g cm⁻³



Model b:
Compound: PrSmMgRu
Source: the Alexandria database
Functional: PBE-GGA
Structure: optimized geometry

```
data_PrSmMgRu
_chemical_formula_sum 'Pr4 Sm4 Mg4 Ru4'
_cell_length_a 7.3181
_cell_length_b 7.3181
_cell_length_c 7.3181
_cell_angle_alpha 90.00
_cell_angle_beta 90.00
_cell_angle_gamma 90.00
_symmetry_space_group_name_H-M 'F -4 3 m'
_symmetry_Int_Tables_number 216
_symmetry_space_group_name_Hall 'F -4 2 3'
loop_
_atom_site_label
_atom_site_fract_x
_atom_site_fract_y
_atom_site_fract_z
Pr1 0.0000 0.0000 0.0000
Sm1 0.0000 0.0000 0.5000
Mg1 0.2500 0.2500 0.7500
Ru1 0.2500 0.2500 0.2500
```

N(E_F): 1.09 states/eV/atom
Theoretical density: 7.061 g cm⁻³



Most stable = model a



Model a:
Compound: TbPrMgRu
Source: the Alexandria database
Functional: PBE-GGA
Structure: optimized geometry

```
data_TbPrMgRu
_chemical_formula_sum 'Tb4 Pr4 Mg4 Ru4'
_cell_length_a 7.2604
_cell_length_b 7.2604
_cell_length_c 7.2604
_cell_angle_alpha 90.00
_cell_angle_beta 90.00
_cell_angle_gamma 90.00
_symmetry_space_group_name_H-M 'F -4 3 m'
_symmetry_Int_Tables_number 216
_symmetry_space_group_name_Hall 'F -4 2 3'
loop_
_atom_site_label
_atom_site_fract_x
_atom_site_fract_y
_atom_site_fract_z
Tb1 0.0000 0.0000 0.0000
Pr1 0.0000 0.0000 0.5000
Mg1 0.2500 0.2500 0.2500
Ru1 0.2500 0.2500 0.7500
```

N(E_F): 1.02 states/eV/atom
Theoretical density: 7.380 g cm⁻³



Model b:
Compound: TbPrMgRu
Source: the Alexandria database
Functional: PBE-GGA
Structure: optimized geometry

```
data_TbPrMgRu
_chemical_formula_sum 'Tb1 Pr1 Mg1 Ru1'
_cell_length_a 3.4579
_cell_length_b 3.4579
_cell_length_c 8.6637
_cell_angle_alpha 90.00
_cell_angle_beta 90.00
_cell_angle_gamma 90.00
_symmetry_space_group_name_H-M 'P 4 m m'
_symmetry_Int_Tables_number 99
_symmetry_space_group_name_Hall 'P 4 -2'
loop_
_atom_site_label
_atom_site_fract_x
_atom_site_fract_y
_atom_site_fract_z
Tb1 0.0000 0.0000 0.0000
Pr1 0.0000 0.0000 0.3950
Mg1 0.5000 0.5000 0.7060
Ru1 0.5000 0.5000 0.1863
```

N(E_F): 0.93 states/eV/atom
Theoretical density: 6.816 g cm⁻³



Most stable = model b



Model a:
Compound: PrTmMgRu
Source: the Alexandria database
Functional: PBE-GGA
Structure: optimized geometry

```
data_PrTmMgRu
_chemical_formula_sum 'Pr4 Tm4 Mg4 Ru4'
_cell_length_a 7.1997
_cell_length_b 7.1997
_cell_length_c 7.1997
_cell_angle_alpha 90.00
_cell_angle_beta 90.00
_cell_angle_gamma 90.00
_symmetry_space_group_name_H-M 'F -4 3 m'
_symmetry_Int_Tables_number 216
_symmetry_space_group_name_Hall 'F -4 2 3'
loop_
_atom_site_label
_atom_site_fract_x
_atom_site_fract_y
_atom_site_fract_z
Pr1 0.0000 0.0000 0.0000
Tm1 0.0000 0.0000 0.5000
Mg1 0.2500 0.2500 0.2500
Ru1 0.2500 0.2500 0.7500
```

N(E_F): 0.96 states/eV/atom
Theoretical density: 7.746 g cm⁻³



Model b:
Compound: PrTmMgRu
Source: the Alexandria database
Functional: PBE-GGA
Structure: optimized geometry

```
data_PrTmMgRu
_chemical_formula_sum 'Pr1 Tm1 Mg1 Ru1'
_cell_length_a 3.4348
_cell_length_b 3.4348
_cell_length_c 8.5712
_cell_angle_alpha 90.00
_cell_angle_beta 90.00
_cell_angle_gamma 90.00
_symmetry_space_group_name_H-M 'P 4 m m'
_symmetry_Int_Tables_number 99
_symmetry_space_group_name_Hall 'P 4 -2'
loop_
_atom_site_label
_atom_site_fract_x
_atom_site_fract_y
_atom_site_fract_z
Pr1 0.0000 0.0000 0.0000
Tm1 0.0000 0.0000 0.6053
Mg1 0.5000 0.5000 0.3143
Ru1 0.5000 0.5000 0.7857
```

N(E_F): 0.91 states/eV/atom
Theoretical density: 7.147 g cm⁻³



Most stable = model b